(1)
The following is a DFT calculation (PBE) of a relaxed BaHg3Os crystal.

Structure (CIF):
```
data_BaHg3Os
_cell_length_a 6.4186
_cell_length_b 6.4186
_cell_length_c 6.4186
_cell_angle_alpha 90.00
_cell_angle_beta 90.00
_cell_angle_gamma 90.00
_space_group_name_H-M_alt 'P 1'
_space_group_IT_number 1
_space_group_name_Hall 'P 1'
loop_
_atom_site_label
_atom_site_fract_x
_atom_site_fract_y
_atom_site_fract_z
Ba1 0.0000 0.0000 0.0000
Hg1 0.0000 0.0000 0.5000
Hg2 0.0000 0.5000 0.0000
Hg3 0.5000 0.0000 0.0000
Os1 0.5000 0.5000 0.5000
```

polymorph energy (0 for the lowest one)	1.513	eV/atom
E_form	1614	meV/atom
spin magnetization	0.510	μB/atom

***

(2)
The following is a DFT calculation (PBE) of a relaxed Ba2HgOs crystal.

Structure (CIF):
```
data_Ba2HgOs
_cell_length_a 4.8005
_cell_length_b 6.3957
_cell_length_c 6.3957
_cell_angle_alpha 43.94
_cell_angle_beta 90.00
_cell_angle_gamma 90.00
_space_group_name_H-M_alt 'P 1'
_space_group_IT_number 1
_space_group_name_Hall 'P 1'
loop_
_atom_site_label
_atom_site_fract_x
_atom_site_fract_y
_atom_site_fract_z
Ba1 0.0000 0.0000 0.0000
Ba2 0.5000 0.2842 0.2842
Hg1 0.5000 0.5830 0.5830
Os1 0.0000 0.6926 0.6926
```

E_form	312	meV/atom
spin magnetization	0.010	μB/atom

***

(3)
The following is a DFT calculation (PBE) of a relaxed BaHgOs3 crystal.

Structure (CIF):
```
data_BaHgOs3
_cell_length_a 5.1696
_cell_length_b 5.1696
_cell_length_c 5.1696
_cell_angle_alpha 90.00
_cell_angle_beta 90.00
_cell_angle_gamma 90.00
_space_group_name_H-M_alt 'P 1'
_space_group_IT_number 1
_space_group_name_Hall 'P 1'
loop_
_atom_site_label
_atom_site_fract_x
_atom_site_fract_y
_atom_site_fract_z
Ba1 0.0000 0.0000 0.0000
Hg1 0.5000 0.5000 0.5000
Os1 0.0000 0.0000 0.5000
Os2 0.0000 0.5000 0.0000
Os3 0.5000 0.0000 0.0000
```

polymorph energy (0 for the lowest one)	1.191	eV/atom
E_form	3616	meV/atom
spin magnetization	1.158	μB/atom

***

(4)
The following is a DFT calculation (PBE) of a relaxed Ba3HgOs crystal.

Structure (CIF):
```
data_Ba3HgOs
_cell_length_a 5.9862
_cell_length_b 5.9862
_cell_length_c 5.9862
_cell_angle_alpha 90.00
_cell_angle_beta 90.00
_cell_angle_gamma 90.00
_space_group_name_H-M_alt 'P 1'
_space_group_IT_number 1
_space_group_name_Hall 'P 1'
loop_
_atom_site_label
_atom_site_fract_x
_atom_site_fract_y
_atom_site_fract_z
Ba1 0.0000 0.0000 0.5000
Ba2 0.0000 0.5000 0.0000
Ba3 0.5000 0.0000 0.0000
Hg1 0.5000 0.5000 0.5000
Os1 0.0000 0.0000 0.0000
```

polymorph energy (0 for the lowest one)	0.000	eV/atom
E_form	266	meV/atom
spin magnetization	0.001	μB/atom

***

(5)
The following is a DFT calculation (PBE) of a relaxed Ba2HgOs crystal.

Structure (CIF):
```
data_Ba2HgOs
_cell_length_a 8.9244
_cell_length_b 8.9244
_cell_length_c 8.9244
_cell_angle_alpha 29.43
_cell_angle_beta 29.43
_cell_angle_gamma 29.43
_space_group_name_H-M_alt 'P 1'
_space_group_IT_number 1
_space_group_name_Hall 'P 1'
loop_
_atom_site_label
_atom_site_fract_x
_atom_site_fract_y
_atom_site_fract_z
Ba1 0.2330 0.2330 0.2330
Ba2 0.7670 0.7670 0.7670
Hg1 0.0000 0.0000 0.0000
Os1 0.5000 0.5000 0.5000
```

E_form	525	meV/atom
spin magnetization	0.153	μB/atom

***

(6)
The following is a DFT calculation (PBE) of a relaxed BaHg3Os crystal.

Structure (CIF):
```
data_BaHg3Os
_cell_length_a 5.3039
_cell_length_b 5.3039
_cell_length_c 5.3039
_cell_angle_alpha 90.00
_cell_angle_beta 90.00
_cell_angle_gamma 90.00
_space_group_name_H-M_alt 'P 1'
_space_group_IT_number 1
_space_group_name_Hall 'P 1'
loop_
_atom_site_label
_atom_site_fract_x
_atom_site_fract_y
_atom_site_fract_z
Ba1 0.0000 0.0000 0.0000
Hg1 0.0000 0.5000 0.5000
Hg2 0.5000 0.0000 0.5000
Hg3 0.5000 0.5000 0.0000
Os1 0.5000 0.5000 0.5000
```

polymorph energy (0 for the lowest one)	0.000	eV/atom
E_form	102	meV/atom
spin magnetization	0.000	μB/atom

***

(7)
The following is a DFT calculation (PBE) of a relaxed Ba4HgOs crystal.

Structure (CIF):
```
data_Ba4HgOs
_cell_length_a 6.8282
_cell_length_b 6.8282
_cell_length_c 6.8282
_cell_angle_alpha 60.00
_cell_angle_beta 60.00
_cell_angle_gamma 60.00
_space_group_name_H-M_alt 'P 1'
_space_group_IT_number 1
_space_group_name_Hall 'P 1'
loop_
_atom_site_label
_atom_site_fract_x
_atom_site_fract_y
_atom_site_fract_z
Ba1 0.3760 0.3760 0.3760
Ba2 0.3760 0.3760 0.8720
Ba3 0.3760 0.8720 0.3760
Ba4 0.8720 0.3760 0.3760
Hg1 0.0000 0.0000 0.0000
Os1 0.7500 0.7500 0.7500
```

E_form	1097	meV/atom
spin magnetization	0.051	μB/atom

***

(8)
The following is a DFT calculation (PBE) of a relaxed Ba2HgOs crystal.

Structure (CIF):
```
data_Ba2HgOs
_cell_length_a 5.4056
_cell_length_b 5.4056
_cell_length_c 5.4056
_cell_angle_alpha 60.00
_cell_angle_beta 60.00
_cell_angle_gamma 60.00
_space_group_name_H-M_alt 'P 1'
_space_group_IT_number 1
_space_group_name_Hall 'P 1'
loop_
_atom_site_label
_atom_site_fract_x
_atom_site_fract_y
_atom_site_fract_z
Ba1 0.0000 0.0000 0.0000
Ba2 0.2500 0.2500 0.2500
Hg1 0.7500 0.7500 0.7500
Os1 0.5000 0.5000 0.5000
```

E_form	626	meV/atom
spin magnetization	0.000	μB/atom

***

(9)
The following is a DFT calculation (PBE) of a relaxed BaHgOs3 crystal.

Structure (CIF):
```
data_BaHgOs3
_cell_length_a 5.0993
_cell_length_b 5.0993
_cell_length_c 5.0993
_cell_angle_alpha 90.00
_cell_angle_beta 90.00
_cell_angle_gamma 90.00
_space_group_name_H-M_alt 'P 1'
_space_group_IT_number 1
_space_group_name_Hall 'P 1'
loop_
_atom_site_label
_atom_site_fract_x
_atom_site_fract_y
_atom_site_fract_z
Ba1 0.0000 0.0000 0.0000
Hg1 0.5000 0.5000 0.5000
Os1 0.0000 0.5000 0.5000
Os2 0.5000 0.0000 0.5000
Os3 0.5000 0.5000 0.0000
```

polymorph energy (0 for the lowest one)	0.000	eV/atom
E_form	2425	meV/atom
spin magnetization	1.111	μB/atom

***

(10)
The following is a DFT calculation (PBE) of a relaxed Ba2HgOs crystal.

Structure (CIF):
```
data_Ba2HgOs
_cell_length_a 3.8345
_cell_length_b 3.8345
_cell_length_c 9.3458
_cell_angle_alpha 90.00
_cell_angle_beta 90.00
_cell_angle_gamma 90.00
_space_group_name_H-M_alt 'P 1'
_space_group_IT_number 1
_space_group_name_Hall 'P 1'
loop_
_atom_site_label
_atom_site_fract_x
_atom_site_fract_y
_atom_site_fract_z
Ba1 0.0000 0.0000 0.0000
Ba2 0.5000 0.5000 0.4364
Hg1 0.0000 0.0000 0.6630
Os1 0.5000 0.5000 0.7616
```

E_form	504	meV/atom
spin magnetization	0.000	μB/atom

***

(11)
The following is a DFT calculation (PBE) of a relaxed Ba2HgOs crystal.

Structure (CIF):
```
data_Ba2HgOs
_cell_length_a 5.6100
_cell_length_b 5.6100
_cell_length_c 3.9440
_cell_angle_alpha 90.00
_cell_angle_beta 90.00
_cell_angle_gamma 90.00
_space_group_name_H-M_alt 'P 1'
_space_group_IT_number 1
_space_group_name_Hall 'P 1'
loop_
_atom_site_label
_atom_site_fract_x
_atom_site_fract_y
_atom_site_fract_z
Ba1 0.0000 0.5000 0.0000
Ba2 0.5000 0.0000 0.0000
Hg1 0.0000 0.0000 0.5000
Os1 0.5000 0.5000 0.5000
```

E_form	475	meV/atom
spin magnetization	0.152	μB/atom

***

(12)
The following is a DFT calculation (PBE) of a relaxed Ba2HgOs crystal.

Structure (CIF):
```
data_Ba2HgOs
_cell_length_a 3.7709
_cell_length_b 3.8132
_cell_length_c 8.7289
_cell_angle_alpha 90.00
_cell_angle_beta 90.00
_cell_angle_gamma 90.00
_space_group_name_H-M_alt 'P 1'
_space_group_IT_number 1
_space_group_name_Hall 'P 1'
loop_
_atom_site_label
_atom_site_fract_x
_atom_site_fract_y
_atom_site_fract_z
Ba1 0.0000 0.0000 0.2107
Ba2 0.0000 0.0000 0.7893
Hg1 0.5000 0.5000 0.5000
Os1 0.5000 0.5000 0.0000
```

E_form	342	meV/atom
spin magnetization	0.000	μB/atom

***

(13)
The following is a DFT calculation (PBE) of a relaxed Ba2HgOs crystal.

Structure (CIF):
```
data_Ba2HgOs
_cell_length_a 6.7242
_cell_length_b 6.7242
_cell_length_c 6.7242
_cell_angle_alpha 146.73
_cell_angle_beta 131.40
_cell_angle_gamma 60.17
_space_group_name_H-M_alt 'P 1'
_space_group_IT_number 1
_space_group_name_Hall 'P 1'
loop_
_atom_site_label
_atom_site_fract_x
_atom_site_fract_y
_atom_site_fract_z
Ba1 0.0000 0.0000 0.0000
Ba2 0.6914 0.1914 0.5000
Hg1 0.2944 0.7944 0.5000
Os1 0.4671 0.4671 0.0000
```

E_form	389	meV/atom
spin magnetization	0.000	μB/atom

***

(14)
The following is a DFT calculation (PBE) of a relaxed Ba2HgOs crystal.

Structure (CIF):
```
data_Ba2HgOs
_cell_length_a 4.6810
_cell_length_b 4.6810
_cell_length_c 8.9742
_cell_angle_alpha 98.90
_cell_angle_beta 98.90
_cell_angle_gamma 46.35
_space_group_name_H-M_alt 'P 1'
_space_group_IT_number 1
_space_group_name_Hall 'P 1'
loop_
_atom_site_label
_atom_site_fract_x
_atom_site_fract_y
_atom_site_fract_z
Ba1 0.2377 0.2377 0.2024
Ba2 0.7623 0.7623 0.7976
Hg1 0.0000 0.0000 0.5000
Os1 0.5000 0.5000 0.0000
```

E_form	496	meV/atom
spin magnetization	0.053	μB/atom